Record 1
Below is a relaxed structure of Dy2TmCd, with properties calculated at the PBE level.

Cell and atoms, written as CIF:
```
data_Dy2TmCd
_chemical_formula_sum 'Dy2 Tm1 Cd1'
_symmetry_space_group_name_H-M 'P 4/m m m'
_symmetry_Int_Tables_number 123
_symmetry_space_group_name_Hall '-P 4 2'
_cell_length_a 5.3634
_cell_length_b 5.3634
_cell_length_c 3.9274
_cell_angle_alpha 90.00
_cell_angle_beta 90.00
_cell_angle_gamma 90.00
loop_
_atom_site_label
_atom_site_fract_x
_atom_site_fract_y
_atom_site_fract_z
_atom_site_occupancy
Dy1 0.0000 0.5000 0.0000 1
Tm1 0.0000 0.0000 0.5000 1
Cd1 0.5000 0.5000 0.5000 1
```

Computed properties:
The electronic total energy comes out at -3.71 eV per atom. Its energy relative to the elements is -0.06 eV/atom.

=====

Record 2
Below is a relaxed structure of PmEr4Pd2, with properties calculated at the PBE level.

Cell and atoms, written as CIF:
```
data_PmEr4Pd2
_chemical_formula_sum 'Pm3 Er12 Pd6'
_symmetry_space_group_name_H-M 'R -3 m'
_symmetry_Int_Tables_number 166
_symmetry_space_group_name_Hall '-R 3 2"'
_cell_length_a 3.9214
_cell_length_b 3.9214
_cell_length_c 45.1541
_cell_angle_alpha 90.00
_cell_angle_beta 90.00
_cell_angle_gamma 120.00
loop_
_atom_site_label
_atom_site_fract_x
_atom_site_fract_y
_atom_site_fract_z
_atom_site_occupancy
Pm1 0.0000 0.0000 0.0000 1
Er1 0.0000 0.0000 0.1977 1
Er2 0.0000 0.0000 0.3963 1
Pd1 0.0000 0.0000 0.0993 1
```

Computed properties:
The electronic total energy comes out at -5.15 eV per atom. Its energy relative to the elements is -0.38 eV/atom.

=====

Record 3
Below is a relaxed structure of ScFe2Ir, with properties calculated at the PBE level.

Cell and atoms, written as CIF:
```
data_ScFe2Ir
_chemical_formula_sum 'Sc1 Fe2 Ir1'
_symmetry_space_group_name_H-M 'P 4 m m'
_symmetry_Int_Tables_number 99
_cell_length_a 3.0646
_cell_length_b 3.0646
_cell_length_c 6.1607
_cell_angle_alpha 90.00
_cell_angle_beta 90.00
_cell_angle_gamma 90.00
loop_
_symmetry_equiv_pos_as_xyz
'x,y,z'
'-y,x,z'
'-x,-y,z'
'y,-x,z'
'-x,y,z'
'y,x,z'
'x,-y,z'
'-y,-x,z'
loop_
_atom_site_label
_atom_site_fract_x
_atom_site_fract_y
_atom_site_fract_z
_atom_site_occupancy
Sc1 0.0000 0.0000 0.0000 1
Fe1 0.0000 0.0000 0.4768 1
Fe2 0.5000 0.5000 0.2752 1
Ir1 0.5000 0.5000 0.7248 1
```

Computed properties:
The electronic total energy comes out at -8.26 eV per atom. Its energy relative to the elements is -0.24 eV/atom.

=====

Record 4
Below is a relaxed structure of ZnCuP2, with properties calculated at the PBE level.

Cell and atoms, written as CIF:
```
data_ZnCuP2
_chemical_formula_sum 'Zn3 Cu3 P6'
_symmetry_space_group_name_H-M 'R -3 m'
_symmetry_Int_Tables_number 166
_symmetry_space_group_name_Hall '-R 3 2"'
_cell_length_a 3.5887
_cell_length_b 3.5887
_cell_length_c 16.4403
_cell_angle_alpha 90.00
_cell_angle_beta 90.00
_cell_angle_gamma 120.00
loop_
_atom_site_label
_atom_site_fract_x
_atom_site_fract_y
_atom_site_fract_z
_atom_site_occupancy
Zn1 0.0000 0.0000 0.0000 1
Cu1 0.0000 0.0000 0.5000 1
P1 0.0000 0.0000 0.2398 1
```

Computed properties:
The electronic total energy comes out at -3.87 eV per atom. Its energy relative to the elements is 0.18 eV/atom.

=====

Record 5
Below is a relaxed structure of TbTeI, with properties calculated at the PBE level.

Cell and atoms, written as CIF:
```
data_TbTeI
_chemical_formula_sum 'Tb1 Te1 I1'
_symmetry_space_group_name_H-M 'P 3 m 1'
_symmetry_Int_Tables_number 156
_cell_length_a 4.3936
_cell_length_b 4.3936
_cell_length_c 7.4050
_cell_angle_alpha 90.00
_cell_angle_beta 90.00
_cell_angle_gamma 120.00
loop_
_symmetry_equiv_pos_as_xyz
'x,y,z'
'-y,x-y,z'
'-x+y,-x,z'
'-y,-x,z'
'-x+y,y,z'
'x,x-y,z'
loop_
_atom_site_label
_atom_site_fract_x
_atom_site_fract_y
_atom_site_fract_z
_atom_site_occupancy
Tb1 0.0000 0.0000 0.0000 1
Te1 0.3333 0.6667 0.7830 1
I1 0.6667 0.3333 0.2666 1
```

Computed properties:
The electronic total energy comes out at -4.48 eV per atom.

=====

Record 6
Below is a relaxed structure of Eu2PuPt, with properties calculated at the PBE level.

Cell and atoms, written as CIF:
```
data_Eu2PuPt
_chemical_formula_sum 'Eu2 Pu1 Pt1'
_symmetry_space_group_name_H-M 'P 4/m m m'
_symmetry_Int_Tables_number 123
_symmetry_space_group_name_Hall '-P 4 2'
_cell_length_a 3.6144
_cell_length_b 3.6144
_cell_length_c 8.8299
_cell_angle_alpha 90.00
_cell_angle_beta 90.00
_cell_angle_gamma 90.00
loop_
_atom_site_label
_atom_site_fract_x
_atom_site_fract_y
_atom_site_fract_z
_atom_site_occupancy
Eu1 0.0000 0.0000 0.1950 1
Pu1 0.5000 0.5000 0.5000 1
Pt1 0.5000 0.5000 0.0000 1
```

Computed properties:
The electronic total energy comes out at -10.55 eV per atom. Its energy relative to the elements is -0.32 eV/atom.

=====

| no. | density of states at the Fermi level (states/eV/cell) |
| --- | --- |
| 1 | 5.0 |
| 2 | 26.7 |
| 3 | 3.0 |
| 4 | 6.1 |
| 5 | 0.0 |
| 6 | 18.5 |